Bi2PbCl after structural relaxation, computed with PBE.

## Properties
The value obtained for the density of states at the Fermi level is 1.9 states/eV/f.u. The calculation puts the density at 9.6 g/cm³. As for the symmetry: No. 225. Its formation energy (no corrections) is -0.28 eV per formula unit. As for the energy: -0.250 Ry/atom.

Cell: 5.4461 5.4461 5.4461 Å, 60.00 60.00 60.00°
Last column: nearest neighbours and their distance in Å.
Atoms (fractional coordinates):
Pb 0.5000 0.5000 0.5000  8 Bi 3.34
Bi 0.2500 0.2500 0.2500  4 Pb 3.34, 4 Cl 3.34
Bi 0.7500 0.7500 0.7500  4 Pb 3.34, 4 Cl 3.34
Cl 0.0000 0.0000 0.0000  8 Bi 3.34



Sr2ZnBr after structural relaxation, computed with PBE.

## Properties
The value obtained for the density of states at the Fermi level is 2.5 states/eV/f.u. The calculation puts the density at 3.5 g/cm³. As for the symmetry: No. 122. Its formation energy (no corrections) is -2.58 eV per formula unit. As for the energy: -0.163 Ry/atom.

Cell: 8.3023 8.3023 7.3637 Å, 55.69 55.69 90.00°
Last column: nearest neighbours and their distance in Å.
Atoms (fractional coordinates):
Sr 0.6251 0.1250 0.2500  2 Br 3.14, 2 Zn 3.14
Sr 0.1249 0.6250 0.2500  2 Br 3.14, 2 Zn 3.14
Sr 0.3750 0.3749 0.7500  2 Br 3.14, 2 Zn 3.14
Sr 0.8750 0.8751 0.7500  2 Br 3.14, 2 Zn 3.14
Zn 0.5000 0.5000 0.0000  4 Sr 3.14
Zn 0.2500 0.7500 0.5000  4 Sr 3.14
Br 0.0000 0.0000 0.0000  4 Sr 3.14
Br 0.7500 0.2500 0.5000  4 Sr 3.14



Rh2IOF after structural relaxation, computed with PBE.

## Properties
The value obtained for the density of states at the Fermi level is 6.8 states/eV/f.u. The calculation puts the density at 7.9 g/cm³. As for the symmetry: No. 123. Its formation energy (no corrections) is -0.05 eV per formula unit. As for the energy: -0.340 Ry/atom.

Cell: 3.9756 4.8811 3.9756 Å, 90.00 90.00 90.00°
Last column: nearest neighbours and their distance in Å.
Atoms (fractional coordinates):
I 0.5000 0.5000 0.5000  4 F 2.81, 8 Rh 3.15
Rh 0.0000 0.0000 0.5000  2 O 1.99
Rh 0.5000 0.0000 0.0000  2 O 1.99
O 0.0000 0.0000 0.0000  4 Rh 1.99
F 0.0000 0.5000 0.0000  2 O 2.44



Question: Which of these has the highest formation energy (no corrections)?
Answer: Rh2IOF



Copy entry 2 word for word.
Sr2ZnBr after structural relaxation, computed with PBE.

## Properties
The value obtained for the density of states at the Fermi level is 2.5 states/eV/f.u. The calculation puts the density at 3.5 g/cm³. As for the symmetry: No. 122. Its formation energy (no corrections) is -2.58 eV per formula unit. As for the energy: -0.163 Ry/atom.

Cell: 8.3023 8.3023 7.3637 Å, 55.69 55.69 90.00°
Last column: nearest neighbours and their distance in Å.
Atoms (fractional coordinates):
Sr 0.6251 0.1250 0.2500  2 Br 3.14, 2 Zn 3.14
Sr 0.1249 0.6250 0.2500  2 Br 3.14, 2 Zn 3.14
Sr 0.3750 0.3749 0.7500  2 Br 3.14, 2 Zn 3.14
Sr 0.8750 0.8751 0.7500  2 Br 3.14, 2 Zn 3.14
Zn 0.5000 0.5000 0.0000  4 Sr 3.14
Zn 0.2500 0.7500 0.5000  4 Sr 3.14
Br 0.0000 0.0000 0.0000  4 Sr 3.14
Br 0.7500 0.2500 0.5000  4 Sr 3.14



Question: formation energy (no corrections) of number 1 (Bi2PbCl)?
Answer: -0.28 eV per formula unit



Question: What is the energy in the second record?
Answer: -0.163 Ry/atom